Entry 1:
Ti3NbS4 | PBE | optimized geometry

Properties
spin magnetization = 0.00 μB/f.u.
DOS(E_F) = 0.776 states/eV per atom
crystal system = orthorhombic

Cell lengths 6.7878, 5.8912, 7.4934 Å; angles 90.00, 90.00, 90.00 degrees
Closest atoms and distances in Å follow each position.
Fractional positions:
Ti 0.5348 0.8345 0.0000  4 S 2.36-2.39
Ti 0.0348 0.1655 0.5000  4 S 2.36-2.39
Ti 0.9886 0.6574 0.8000  4 S 2.34-2.41
Ti 0.4886 0.3426 0.7000  4 S 2.34-2.41
Ti 0.4886 0.3426 0.3000  4 S 2.34-2.41
Ti 0.9886 0.6574 0.2000  4 S 2.34-2.41
Nb 0.4326 0.8284 0.5000  4 S 2.40-2.46
Nb 0.9326 0.1716 0.0000  4 S 2.40-2.46
S 0.6836 0.1306 0.5000  3 Ti 2.36-2.39, 1 Nb 2.46
S 0.6561 0.6953 0.2740  3 Ti 2.34-2.38, 1 Nb 2.40
S 0.1561 0.3047 0.2260  3 Ti 2.34-2.38, 1 Nb 2.40
S 0.5750 0.2341 0.0000  3 Ti 2.37-2.41, 1 Nb 2.46
S 0.1836 0.8694 0.0000  3 Ti 2.36-2.39, 1 Nb 2.46
S 0.6561 0.6953 0.7260  3 Ti 2.34-2.38, 1 Nb 2.40
S 0.1561 0.3047 0.7740  3 Ti 2.34-2.38, 1 Nb 2.40
S 0.0750 0.7659 0.5000  3 Ti 2.37-2.41, 1 Nb 2.46

=====

Entry 2:
AcPmSi | PBE | optimized geometry

Properties
spin magnetization = 0.00 μB/f.u.
DOS(E_F) = 0.717 states/eV per atom
energy relative to the lowest polymorph listed for this composition = 163 meV/atom
crystal system = trigonal

Cell lengths 4.6963, 4.8494, 4.8494 Å; angles 120.00, 90.00, 90.00 degrees
Closest atoms and distances in Å follow each position.
Fractional positions:
Si 0.0820 0.0000 0.0000  3 Pm 2.87
Pm 0.2211 0.3333 0.6667  3 Si 2.87
Ac 0.6969 0.6667 0.3333  3 Si 3.33, 6 Pm 3.58-3.73

=====

Entry 3:
SrAs2H | PBE | optimized geometry

Properties
spin magnetization = 0.57 μB/f.u.
DOS(E_F) = 0.798 states/eV per atom
energy relative to the lowest polymorph listed for this composition = 486 meV/atom
crystal system = cubic

Cell lengths 4.9975, 4.9975, 4.9975 Å; angles 60.00, 60.00, 60.00 degrees
Closest atoms and distances in Å follow each position.
Fractional positions:
H 0.0000 0.0000 0.0000  8 As 3.06
As 0.7500 0.7500 0.7500  4 Sr 3.06, 4 H 3.06
As 0.2500 0.2500 0.2500  4 H 3.06, 4 Sr 3.06
Sr 0.5000 0.5000 0.5000  8 As 3.06

=====

Entry 4:
TaCo2HgI | PBE | optimized geometry

Properties
spin magnetization = 1.71 μB/f.u.
DOS(E_F) = 1.278 states/eV per atom
crystal system = tetragonal

Cell lengths 4.5456, 5.1453, 4.5456 Å; angles 90.00, 90.00, 90.00 degrees
Closest atoms and distances in Å follow each position.
Fractional positions:
I 0.0000 0.0000 0.0000  4 Co 2.27
Co 0.0000 0.0000 0.5000  2 I 2.27
Co 0.5000 0.0000 0.0000  2 I 2.27
Ta 0.0000 0.5000 0.0000  2 I 2.57
Hg 0.5000 0.5000 0.5000  4 Ta 3.21, 8 Co 3.43

=====

Entry 5:
CaEr2AgHg4 | PBE | optimized geometry

Properties
spin magnetization = 0.00 μB/f.u.
DOS(E_F) = 0.739 states/eV per atom
ΔH_f (0 K) = -0.3869 eV per atom
crystal system = trigonal

Cell lengths 5.1149, 5.1149, 8.9632 Å; angles 73.42, 73.42, 60.00 degrees
Closest atoms and distances in Å follow each position.
Fractional positions:
Hg 0.1243 0.1243 0.6271  4 Er 3.05-3.09, 3 Ag 3.14, 1 Ca 3.16
Hg 0.8757 0.8757 0.3729  4 Er 3.05-3.09, 3 Ag 3.14, 1 Ca 3.16
Hg 0.3748 0.3748 0.8758  3 Ca 3.13, 1 Ag 3.18, 4 Er 3.19-3.31
Hg 0.6252 0.6252 0.1242  3 Ca 3.13, 1 Ag 3.18, 4 Er 3.19-3.31
Ca 0.0000 0.0000 0.0000  8 Hg 3.13-3.16
Er 0.7557 0.7557 0.7329  8 Hg 3.05-3.31
Er 0.2443 0.2443 0.2671  8 Hg 3.05-3.31
Ag 0.5000 0.5000 0.5000  8 Hg 3.14-3.18

=====

Entry 6:
La3ScTl4 | PBE | optimized geometry

Properties
spin magnetization = 0.00 μB/f.u.
DOS(E_F) = 0.856 states/eV per atom
ΔH_f (0 K) = -0.3862 eV per atom
crystal system = tetragonal

Cell lengths 3.7695, 3.7695, 16.4987 Å; angles 90.00, 90.00, 90.00 degrees
Closest atoms and distances in Å follow each position.
Fractional positions:
Sc 0.5000 0.5000 0.0000  8 Tl 3.15
La 0.5000 0.5000 0.2351  8 Tl 3.44-3.45, 4 La 3.77
La 0.5000 0.5000 0.7649  8 Tl 3.44-3.45, 4 La 3.77
La 0.5000 0.5000 0.5000  8 Tl 3.45, 4 La 3.77
Tl 0.0000 0.0000 0.6331  8 La 3.44-3.45, 4 Tl 3.77
Tl 0.0000 0.0000 0.8980  4 Sc 3.15, 1 Tl 3.37, 4 La 3.45
Tl 0.0000 0.0000 0.3669  8 La 3.44-3.45, 4 Tl 3.77
Tl 0.0000 0.0000 0.1020  4 Sc 3.15, 1 Tl 3.37, 4 La 3.45

=====

Entry 7:
HfZrVTc | PBE | optimized geometry

Properties
spin magnetization = 2.89 μB/f.u.
DOS(E_F) = 1.034 states/eV per atom
ΔH_f (0 K) = -0.1536 eV per atom
crystal system = cubic

Cell lengths 4.6902, 4.6902, 4.6902 Å; angles 60.00, 60.00, 60.00 degrees
Closest atoms and distances in Å follow each position.
Fractional positions:
V 0.0000 0.0000 0.0000  4 Zr 2.87, 4 Hf 2.87
Zr 0.2500 0.2500 0.2500  4 Tc 2.87, 4 V 2.87
Hf 0.7500 0.7500 0.7500  4 Tc 2.87, 4 V 2.87
Tc 0.5000 0.5000 0.5000  4 Zr 2.87, 4 Hf 2.87

=====

Entry 8:
Sm4Er2Tm3 | PBE | optimized geometry

Properties
spin magnetization = 0.00 μB/f.u.
DOS(E_F) = 1.264 states/eV per atom
ΔH_f (0 K) = 0.0478 eV per atom
energy relative to the lowest polymorph listed for this composition = 0 meV/atom
crystal system = orthorhombic

Cell lengths 6.9992, 9.7011, 9.7010 Å; angles 60.04, 90.00, 90.00 degrees
Closest atoms and distances in Å follow each position.
Fractional positions:
Tm 0.7500 0.8301 0.8302  6 Sm 3.46-3.86, 4 Er 3.49-3.82, 2 Tm 3.50
Tm 0.2500 0.8302 0.8301  6 Sm 3.46-3.86, 4 Er 3.49-3.82, 2 Tm 3.50
Tm 0.2500 0.1699 0.1698  6 Sm 3.46-3.86, 4 Er 3.49-3.82, 2 Tm 3.50
Tm 0.2500 0.5000 0.5000  2 Tm 3.50, 8 Sm 3.69-3.70, 4 Er 3.70
Tm 0.7500 0.5000 0.5000  2 Tm 3.50, 8 Sm 3.69-3.70, 4 Er 3.70
Tm 0.7500 0.1698 0.1699  6 Sm 3.46-3.86, 4 Er 3.49-3.82, 2 Tm 3.50
Sm 0.5000 0.8187 0.1490  4 Sm 3.22-3.54, 1 Er 3.28, 2 Tm 3.51
Sm 0.5000 0.1813 0.8510  4 Sm 3.22-3.54, 1 Er 3.28, 2 Tm 3.51
Sm 0.5000 0.4723 0.1800  2 Sm 3.22-3.26, 3 Er 3.27-3.53, 2 Tm 3.46
Sm 0.0000 0.1490 0.8187  4 Sm 3.22-3.54, 1 Er 3.28, 2 Tm 3.51
Sm 0.0000 0.8200 0.5277  2 Sm 3.22-3.26, 3 Er 3.27-3.53, 2 Tm 3.46
Sm 0.0000 0.8510 0.1813  4 Sm 3.22-3.54, 1 Er 3.28, 2 Tm 3.51
Sm 0.5000 0.5277 0.8200  2 Sm 3.22-3.26, 3 Er 3.27-3.53, 2 Tm 3.46
Sm 0.0000 0.1800 0.4723  2 Sm 3.22-3.26, 3 Er 3.27-3.53, 2 Tm 3.46
Er 0.0000 0.5294 0.1507  1 Er 3.25, 4 Sm 3.27-3.53, 2 Tm 3.49
Er 0.0000 0.4706 0.8493  1 Er 3.25, 4 Sm 3.27-3.53, 2 Tm 3.49
Er 0.5000 0.1507 0.5294  1 Er 3.25, 4 Sm 3.27-3.53, 2 Tm 3.49
Er 0.5000 0.8493 0.4706  1 Er 3.25, 4 Sm 3.27-3.53, 2 Tm 3.49

=====

no.,electronic total energy (eV/atom)
1,-7.20
2,-5.02
3,-3.16
4,-4.10
5,-2.29
6,-4.21
7,-9.65
8,-4.55